# NaZrTlTe3

A relaxed NaZrTlTe3 crystal (PBE, the Open Quantum Materials Database).

Values from the calculation:
VASP energy = -4.28 eV/atom

Unit cell a=8.4905 b=4.2100 c=11.3023 alpha=90.00 beta=104.36 gamma=90.00
Closest atoms and distances in Å follow each position.
Space group P2_1/m (No. 11)
Unique sites:
Na (0.0368, 0.2500, 0.1120) [2 per cell]  4 Te 2.95-3.11, 2 Na 3.23
Zr (0.3091, 0.7500, 0.3444) [2 per cell]  6 Te 2.87-3.04
Tl (0.2980, 0.2500, 0.8094) [2 per cell]  3 Te 3.39-3.40
Te (0.0905, 0.2500, 0.3799) [2 per cell]  2 Zr 2.90, 1 Na 2.95
Te (0.2897, 0.7500, 0.0873) [2 per cell]  1 Zr 2.87, 3 Na 3.07-3.11
Te (0.4315, 0.7500, 0.6206) [2 per cell]  3 Zr 3.00-3.04

***

# BeCuTcPb

A relaxed BeCuTcPb crystal (PBE, the Open Quantum Materials Database).

Values from the calculation:
VASP energy = -4.75 eV/atom

Unit cell a=6.2313 b=6.2313 c=6.2313 alpha=90.00 beta=90.00 gamma=90.00
Closest atoms and distances in Å follow each position.
Space group F-43m (No. 216)
Unique sites:
Be (0.0000, 0.0000, 0.0000) [4 per cell]  4 Cu 2.70, 4 Tc 2.70
Cu (0.2500, 0.2500, 0.7500) [4 per cell]  4 Pb 2.70, 4 Be 2.70
Tc (0.2500, 0.2500, 0.2500) [4 per cell]  4 Be 2.70, 4 Pb 2.70
Pb (0.0000, 0.0000, 0.5000) [4 per cell]  4 Tc 2.70, 4 Cu 2.70

***

# Zr4Ta2Bi3N3

A relaxed Zr4Ta2Bi3N3 crystal (PBE, the Open Quantum Materials Database).

Values from the calculation:
VASP energy = -8.61 eV/atom

Unit cell a=10.4364 b=6.0286 c=13.9736 alpha=90.00 beta=104.39 gamma=90.00
Closest atoms and distances in Å follow each position.
Space group C2/c (No. 15)
Unique sites:
Zr (0.1110, 0.0816, 0.0828) [8 per cell]  3 N 2.30-2.32
Zr (0.2214, 0.0840, 0.4171) [8 per cell]  3 N 2.31-2.32
Ta (0.0601, 0.4161, 0.9283) [8 per cell]  3 N 2.20-2.22
Bi (0.0000, 0.0943, 0.7500) [4 per cell]  4 Zr 3.04-3.05, 2 Ta 3.10, 2 Bi 3.37
Bi (0.1614, 0.4219, 0.2495) [8 per cell]  4 Zr 3.05, 2 Ta 3.10, 2 Bi 3.37
N (0.0814, 0.2554, 0.5000) [8 per cell]  2 Ta 2.20-2.21, 4 Zr 2.31-2.32
N (0.2500, 0.2500, 0.0000) [4 per cell]  2 Ta 2.22, 4 Zr 2.30-2.31

***

# Sc4ZnAsC2

A relaxed Sc4ZnAsC2 crystal (PBE, the Open Quantum Materials Database).

Values from the calculation:
VASP energy = -6.81 eV/atom

Unit cell a=3.3568 b=3.3568 c=13.8532 alpha=90.00 beta=90.00 gamma=120.00
Closest atoms and distances in Å follow each position.
Space group P-6m2 (No. 187)
Unique sites:
Sc (0.0000, 0.0000, 0.1485) [2 per cell]  3 C 2.31
Sc (0.3333, 0.6667, 0.3258) [2 per cell]  3 C 2.28
Zn (0.0000, 0.0000, 0.5000) [1 per cell]  6 Sc 3.10, 6 Zn 3.36
As (0.3333, 0.6667, 0.0000) [1 per cell]  6 Sc 2.83
C (0.6667, 0.3333, 0.2396) [2 per cell]  6 Sc 2.28-2.31

***

# YInCuMo

A relaxed YInCuMo crystal (PBE, the Open Quantum Materials Database).

Values from the calculation:
VASP energy = -5.59 eV/atom

Unit cell a=6.8020 b=6.8020 c=6.8020 alpha=90.00 beta=90.00 gamma=90.00
Closest atoms and distances in Å follow each position.
Space group F-43m (No. 216)
Unique sites:
Y (0.0000, 0.0000, 0.0000) [4 per cell]  4 Mo 2.95, 4 Cu 2.95
In (0.0000, 0.0000, 0.5000) [4 per cell]  4 Mo 2.95, 4 Cu 2.95
Cu (0.2500, 0.2500, 0.7500) [4 per cell]  4 In 2.95, 4 Y 2.95
Mo (0.2500, 0.2500, 0.2500) [4 per cell]  4 In 2.95, 4 Y 2.95

***

# Hf2CdGa

A relaxed Hf2CdGa crystal (PBE, the Open Quantum Materials Database).

Values from the calculation:
VASP energy = -5.65 eV/atom

Unit cell a=6.8956 b=6.8956 c=6.8956 alpha=90.00 beta=90.00 gamma=90.00
Closest atoms and distances in Å follow each position.
Space group F-43m (No. 216)
Unique sites:
Hf (0.0000, 0.0000, 0.0000) [4 per cell]  4 Cd 2.99, 4 Hf 2.99
Hf (0.2500, 0.2500, 0.2500) [4 per cell]  4 Hf 2.99, 4 Ga 2.99
Cd (0.2500, 0.2500, 0.7500) [4 per cell]  4 Ga 2.99, 4 Hf 2.99
Ga (0.0000, 0.0000, 0.5000) [4 per cell]  4 Hf 2.99, 4 Cd 2.99

***

# Lu3Co

A relaxed Lu3Co crystal (PBE, the Open Quantum Materials Database).

Values from the calculation:
VASP energy = -4.92 eV/atom
Energy relative to the elements = 0.2478 eV per atom

Unit cell a=4.3288 b=4.3288 c=9.7314 alpha=90.00 beta=90.00 gamma=90.00
Closest atoms and distances in Å follow each position.
Space group I4/mmm (No. 139)
Unique sites:
Lu (0.0000, 0.0000, 0.0000) [2 per cell]  4 Co 3.06, 8 Lu 3.26
Lu (0.0000, 0.5000, 0.2500) [4 per cell]  8 Lu 3.06-3.26, 4 Co 3.26
Co (0.0000, 0.0000, 0.5000) [2 per cell]  12 Lu 3.06-3.26

***

# Li2In2CuHg2Pd

A relaxed Li2In2CuHg2Pd crystal (PBE, the Open Quantum Materials Database).

Values from the calculation:
VASP energy = -2.62 eV/atom

Unit cell a=4.6497 b=4.6497 c=6.5386 alpha=90.00 beta=90.00 gamma=90.00
Closest atoms and distances in Å follow each position.
Space group P-4m2 (No. 115)
Unique sites:
Li (0.0000, 0.0000, 0.0000) [1 per cell]  4 In 2.83, 4 Hg 2.89
Li (0.5000, 0.5000, 0.5000) [1 per cell]  4 Hg 2.80, 4 In 2.85
In (0.0000, 0.5000, 0.2471) [2 per cell]  4 Li 2.83-2.85, 2 Pd 2.83, 2 Cu 2.85
Cu (0.0000, 0.0000, 0.5000) [1 per cell]  4 Hg 2.80, 4 In 2.85
Hg (0.0000, 0.5000, 0.7379) [2 per cell]  4 Li 2.80-2.89, 2 Cu 2.80, 2 Pd 2.89
Pd (0.5000, 0.5000, 0.0000) [1 per cell]  4 In 2.83, 4 Hg 2.89

***

# Mg2HgTe2F2

A relaxed Mg2HgTe2F2 crystal (PBE, the Open Quantum Materials Database).

Values from the calculation:
VASP energy = -3.42 eV/atom

Unit cell a=3.8025 b=3.8025 c=9.6583 alpha=90.00 beta=90.00 gamma=90.00
Closest atoms and distances in Å follow each position.
Space group P-4m2 (No. 115)
Unique sites:
Mg (0.0000, 0.5000, 0.1157) [2 per cell]  4 F 2.21
Hg (0.5000, 0.5000, 0.5000) [1 per cell]  4 Te 2.84
Te (0.0000, 0.5000, 0.7185) [2 per cell]  2 Hg 2.84, 4 Mg 3.13
F (0.0000, 0.0000, 0.0000) [1 per cell]  4 Mg 2.21
F (0.5000, 0.5000, 0.0000) [1 per cell]  4 Mg 2.21

***

# RbZrZnSe3

A relaxed RbZrZnSe3 crystal (PBE, the Open Quantum Materials Database).

Values from the calculation:
VASP energy = -4.65 eV/atom

Unit cell a=9.2361 b=3.9377 c=9.9808 alpha=90.00 beta=112.61 gamma=90.00
Closest atoms and distances in Å follow each position.
Space group P2_1/m (No. 11)
Unique sites:
Rb (0.2084, 0.2500, 0.2462) [2 per cell]  7 Se 3.41-3.61
Zr (0.3518, 0.7500, 0.8765) [2 per cell]  5 Se 2.67-2.81
Zn (0.0841, 0.2500, 0.6102) [2 per cell]  4 Se 2.43-2.61
Se (0.1313, 0.2500, 0.8669) [2 per cell]  1 Zn 2.43
Se (0.2146, 0.7500, 0.5513) [2 per cell]  3 Zn 2.49-2.61
Se (0.4665, 0.7500, 0.1666) [2 per cell]  3 Zr 2.67-2.73

***

# GdAgSnTe3

A relaxed GdAgSnTe3 crystal (PBE, the Open Quantum Materials Database).

Values from the calculation:
VASP energy = -4.13 eV/atom

Unit cell a=9.1500 b=4.5420 c=18.0537 alpha=90.00 beta=90.00 gamma=90.00
Closest atoms and distances in Å follow each position.
Space group Pnma (No. 62)
Unique sites:
Gd (0.2295, 0.2500, 0.0364) [4 per cell]  6 Te 3.08-3.25
Ag (0.1201, 0.2500, 0.3639) [4 per cell]  4 Te 2.78-2.83
Sn (0.0919, 0.2500, 0.7512) [4 per cell]  3 Te 3.05-3.09
Te (0.0347, 0.2500, 0.5850) [4 per cell]  2 Ag 2.83, 1 Sn 3.05
Te (0.1134, 0.7500, 0.9374) [4 per cell]  1 Ag 2.78, 2 Gd 3.08
Te (0.1927, 0.2500, 0.2123) [4 per cell]  1 Ag 2.82, 2 Sn 3.09

***

# Hf2AlIr

A relaxed Hf2AlIr crystal (PBE, the Open Quantum Materials Database).

Values from the calculation:
VASP energy = -8.47 eV/atom

Unit cell a=6.5589 b=6.5589 c=6.5589 alpha=90.00 beta=90.00 gamma=90.00
Closest atoms and distances in Å follow each position.
Space group F-43m (No. 216)
Unique sites:
Hf (0.0000, 0.0000, 0.0000) [4 per cell]  4 Ir 2.84, 4 Hf 2.84
Hf (0.2500, 0.2500, 0.2500) [4 per cell]  4 Hf 2.84, 4 Al 2.84
Al (0.0000, 0.0000, 0.5000) [4 per cell]  4 Hf 2.84, 4 Ir 2.84
Ir (0.2500, 0.2500, 0.7500) [4 per cell]  4 Hf 2.84, 4 Al 2.84

***

# GdDyIn4Ir2

A relaxed GdDyIn4Ir2 crystal (PBE, the Open Quantum Materials Database).

Values from the calculation:
VASP energy = -5.28 eV/atom

Unit cell a=8.0548 b=4.3286 c=10.1944 alpha=90.00 beta=90.00 gamma=90.00
Closest atoms and distances in Å follow each position.
Space group Amm2 (No. 38)
Unique sites:
Gd (0.0000, 0.0000, 0.0000) [2 per cell]  3 Ir 2.97-3.03
Dy (0.5000, 0.0000, 0.8578) [2 per cell]  3 Ir 2.98-3.03, 6 In 3.32-3.33
In (0.2004, 0.0000, 0.2867) [4 per cell]  3 Ir 2.79-2.82, 1 In 3.02
In (0.3011, 0.0000, 0.5717) [4 per cell]  3 Ir 2.80-2.81, 1 In 3.02
Ir (0.0000, 0.0000, 0.7084) [2 per cell]  6 In 2.80-2.82, 3 Gd 2.97-3.03
Ir (0.5000, 0.0000, 0.1501) [2 per cell]  6 In 2.79-2.81, 3 Dy 2.98-3.03

***

# Zr4InC3

A relaxed Zr4InC3 crystal (PBE, the Open Quantum Materials Database).

Values from the calculation:
VASP energy = -8.85 eV/atom

Unit cell a=3.3688 b=3.3688 c=25.8341 alpha=90.00 beta=90.00 gamma=120.00
Closest atoms and distances in Å follow each position.
Space group P6_3/mmc (No. 194)
Unique sites:
Zr (0.0000, 0.0000, 0.1521) [4 per cell]  3 C 2.26
Zr (0.3333, 0.6667, 0.0505) [4 per cell]  6 C 2.34-2.44
In (0.3333, 0.6667, 0.2500) [2 per cell]  6 Zr 3.19, 6 In 3.37
C (0.0000, 0.0000, 0.0000) [2 per cell]  6 Zr 2.34
C (0.3333, 0.6667, 0.6079) [4 per cell]  6 Zr 2.26-2.44

***

# PrEr2Mg3CdIn2

A relaxed PrEr2Mg3CdIn2 crystal (PBE, the Open Quantum Materials Database).

Values from the calculation:
VASP energy = -3.13 eV/atom

Unit cell a=4.6742 b=13.2527 c=7.4682 alpha=90.00 beta=90.00 gamma=90.00
Closest atoms and distances in Å follow each position.
Space group Amm2 (No. 38)
Unique sites:
Pr (0.0000, 0.0000, 0.0000) [2 per cell]  1 Cd 3.28, 4 In 3.30, 6 Mg 3.41-3.64
Er (0.0000, 0.2133, 0.6370) [4 per cell]  1 Cd 3.19, 4 In 3.22, 2 Mg 3.47
Mg (0.5000, 0.0000, 0.6684) [2 per cell]  2 Cd 2.90, 2 In 2.96, 2 Mg 3.12
Mg (0.5000, 0.1191, 0.3077) [4 per cell]  2 In 2.92-2.95, 2 Cd 2.99, 2 Mg 3.12-3.16
Cd (0.0000, 0.0000, 0.4387) [2 per cell]  6 Mg 2.90-2.99, 2 Er 3.19
In (0.5000, 0.1708, 0.9236) [4 per cell]  3 Mg 2.92-2.96, 4 Er 3.22

***

# CsHfCuTe2Se

A relaxed CsHfCuTe2Se crystal (PBE, the Open Quantum Materials Database).

Values from the calculation:
VASP energy = -4.97 eV/atom

Unit cell a=9.4435 b=4.0896 c=10.7351 alpha=90.00 beta=115.54 gamma=90.00
Closest atoms and distances in Å follow each position.
Space group P2_1/m (No. 11)
Unique sites:
Cs (0.0017, 0.2500, 0.2289) [2 per cell]  2 Se 3.60, 4 Te 3.80-3.88
Hf (0.4734, 0.7500, 0.6545) [2 per cell]  3 Se 2.73, 3 Te 2.83-2.90
Cu (0.4803, 0.2500, 0.8971) [2 per cell]  4 Te 2.62-2.70, 2 Cu 2.91
Te (0.2514, 0.2500, 0.6469) [2 per cell]  1 Cu 2.62, 2 Hf 2.90
Te (0.3267, 0.2500, 0.0586) [2 per cell]  3 Cu 2.64-2.70, 1 Hf 2.83
Se (0.3498, 0.7500, 0.3726) [2 per cell]  3 Hf 2.73

***

# NaYHgTe3

A relaxed NaYHgTe3 crystal (PBE, the Open Quantum Materials Database).

Values from the calculation:
VASP energy = -3.79 eV/atom

Unit cell a=11.7226 b=4.3894 c=14.9228 alpha=90.00 beta=90.00 gamma=90.00
Closest atoms and distances in Å follow each position.
Space group Pnma (No. 62)
Unique sites:
Na (0.2289, 0.2500, 0.0218) [4 per cell]  7 Te 3.38-3.75, 2 Hg 3.65
Y (0.0106, 0.7500, 0.7459) [4 per cell]  6 Te 3.11-3.26
Hg (0.2423, 0.7500, 0.2174) [4 per cell]  4 Te 2.81-2.88
Te (0.0418, 0.7500, 0.1121) [4 per cell]  1 Hg 2.83, 2 Y 3.11
Te (0.0656, 0.2500, 0.6046) [4 per cell]  1 Hg 2.81, 2 Y 3.11
Te (0.2397, 0.2500, 0.3427) [4 per cell]  2 Hg 2.88, 1 Y 3.22

***

# LiNiSbAu

A relaxed LiNiSbAu crystal (PBE, the Open Quantum Materials Database).

Values from the calculation:
VASP energy = -3.99 eV/atom

Unit cell a=6.3195 b=6.3195 c=6.3195 alpha=90.00 beta=90.00 gamma=90.00
Closest atoms and distances in Å follow each position.
Space group F-43m (No. 216)
Unique sites:
Li (0.0000, 0.0000, 0.0000) [4 per cell]  4 Sb 2.74, 4 Au 2.74
Ni (0.0000, 0.0000, 0.5000) [4 per cell]  4 Au 2.74, 4 Sb 2.74
Sb (0.2500, 0.2500, 0.2500) [4 per cell]  4 Ni 2.74, 4 Li 2.74
Au (0.2500, 0.2500, 0.7500) [4 per cell]  4 Li 2.74, 4 Ni 2.74

***

# HfTlIn

A relaxed HfTlIn crystal (PBE, the Open Quantum Materials Database).

Values from the calculation:
VASP energy = -4.40 eV/atom

Unit cell a=6.8435 b=6.8435 c=6.8435 alpha=90.00 beta=90.00 gamma=90.00
Closest atoms and distances in Å follow each position.
Space group F-43m (No. 216)
Unique sites:
Hf (0.0000, 0.0000, 0.0000) [4 per cell]  4 Tl 2.96
Tl (0.2500, 0.2500, 0.2500) [4 per cell]  4 Hf 2.96, 4 In 2.96
In (0.0000, 0.0000, 0.5000) [4 per cell]  4 Tl 2.96

***

# SrOs2

A relaxed SrOs2 crystal (PBE, the Open Quantum Materials Database).

Values from the calculation:
VASP energy = -5.34 eV/atom

Unit cell a=6.4790 b=6.4790 c=6.4790 alpha=90.00 beta=90.00 gamma=90.00
Closest atoms and distances in Å follow each position.
Space group Fm-3m (No. 225)
Unique sites:
Sr (0.0000, 0.0000, 0.0000) [4 per cell]  8 Os 2.81
Os (0.2500, 0.2500, 0.2500) [8 per cell]  4 Sr 2.81